PBE-GGA BaSr2Er6O12, optimized geometry; ΔE_f (raw) = -3346 meV/atom; space group = P-6 (174)
1.0
6.3376 6.2015 5.2350
-6.6676 -6.0018 5.0548
2.3412 -2.4968 0.1235
Sr Er O Ba
2 6 12 1
Cartesian
0.0000 0.0000 0.0000
3.1731 0.8853 5.2367
2.0165 1.9810 1.8246
1.1444 -1.1072 3.4118
2.9731 0.8646 8.6095
5.4018 2.8985 3.6888
-0.1244 0.2263 6.9317
4.1155 4.1938 6.7686
2.0840 -0.3211 1.4954
-1.7527 -3.8547 2.7848
1.3179 -0.6923 8.5091
-2.3976 -4.2438 7.1434
6.1174 3.6692 5.7056
1.5455 1.7944 6.9777
-0.9906 -0.7840 2.9276
0.6645 -1.4489 5.6016
1.1035 1.2219 3.7842
3.3586 3.3848 4.7630
-1.6585 -1.1723 7.7365
-4.3485 -3.8458 4.6805
-2.3325 -1.9341 5.1149



PBE-GGA Y2FeMo, optimized geometry; space group = I-42d (122); E_form = 807 meV per atom; E above lowest polymorph = 649.1 meV per atom
1.0
-5.7708 -3.3113 3.7001
-3.6018 -1.1136 -6.6140
-3.3266 -4.9032 -1.7443
Mo Fe Y
2 2 4
Cartesian
-6.8918 -5.2135 0.2494
0.0000 0.0000 0.0000
-4.6863 -2.2124 -1.4569
-5.8073 -4.1146 -4.9076
-4.7711 -3.3671 0.9744
-10.6226 -7.5265 -3.7232
-3.9216 -2.4031 -4.0320
-6.0830 -5.3594 -2.5356



PBE-GGA Rb2NbOsBr6, optimized geometry; ΔE_f (raw) = -556 meV/atom; space group = I4/mmm (139)
1.0
7.5060 0.0000 0.0000
0.0000 7.5060 0.0000
3.7530 3.7530 5.3319
Rb Br Os Nb
2 6 1 1
Cartesian
7.5060 3.7530 2.6659
3.7530 7.5060 2.6659
5.6767 1.8293 0.0000
3.7530 3.7530 2.7292
5.6767 5.6767 0.0000
7.5060 7.5060 2.6027
1.8293 5.6767 0.0000
1.8293 1.8293 0.0000
0.0000 0.0000 0.0000
3.7530 3.7530 0.0000



PBE-GGA FeAsIr2, optimized geometry; space group = F-43m (216); E_form = 288 meV per atom
1.0
4.3526 0.0000 0.0000
2.1763 3.7694 0.0000
2.1763 1.2565 3.5539
As Fe Ir
1 1 2
Cartesian
4.3526 2.5130 1.7769
6.5289 3.7694 2.6654
2.1763 1.2565 0.8885
0.0000 0.0000 0.0000



PBE-GGA LiPdI2N, optimized geometry; ΔE_f (raw) = 935 meV/atom; space group = P4/mmm (123); E above lowest polymorph = 735.9 meV per atom
1.0
5.2818 0.0000 0.0000
0.0000 5.2818 0.0000
0.0000 0.0000 3.6542
Pd I Li N
1 2 1 1
Cartesian
2.6409 2.6409 1.8271
2.6409 0.0000 0.0000
0.0000 2.6409 0.0000
0.0000 0.0000 0.0000
0.0000 0.0000 1.8271



PBE-GGA YTc2Pb, optimized geometry; space group = P4/mmm (123); E_form = 327 meV per atom
1.0
-2.7073 1.4222 1.8965
-0.6909 -4.0906 2.0813
2.9785 1.2018 3.3506
Y Tc Pb
1 2 1
Cartesian
-1.6991 -1.3342 1.9889
1.1438 -1.4444 2.7160
0.0000 0.0000 0.0000
0.1356 1.3120 2.6236



PBE-GGA SmCdAs2O8, optimized geometry; ΔE_f (raw) = -1610 meV/atom; space group = I-4m2 (119)
1.0
-1.6290 0.0962 5.8606
-3.8570 -2.7940 -3.7851
5.2229 -3.1073 -0.2753
O As Cd Sm
8 2 1 1
Cartesian
3.1898 -2.9272 1.1300
-1.5427 -1.9386 -0.0524
0.8796 -4.3854 0.1212
-0.7511 -1.5629 4.4013
2.0072 -2.2714 3.9765
-0.2541 -3.7099 2.9241
-3.0530 -2.3591 2.4017
0.6997 -1.1759 1.9444
0.4254 -2.1800 3.3116
-2.7430 -1.3489 1.0378
-0.6886 -3.6252 -1.5113
0.0000 0.0000 0.0000



PBE-GGA GaBTe2Pd, optimized geometry; ΔE_f (raw) = 1206 meV/atom; space group = P4/mmm (123)
1.0
-0.9358 0.4935 5.2671
4.4272 -1.3098 0.9093
1.5614 5.1363 -0.2038
Pd Te B Ga
1 2 1 1
Cartesian
2.2136 -0.6549 0.4547
0.7807 2.5682 -0.1019
-0.4679 0.2467 2.6335
2.5264 2.1600 2.9863
0.0000 0.0000 0.0000



PBE-GGA LuCoPdPb, optimized geometry; space group = F-43m (216); E_form = -313 meV per atom
1.0
-2.6494 3.8616 0.5257
-4.0920 -0.2485 2.3239
-0.4256 2.0058 4.2430
Pd Lu Pb Co
1 1 1 1
Cartesian
0.0000 0.0000 0.0000
-1.7918 1.4047 1.7732
-5.3753 4.2141 5.3195
-3.5835 2.8094 3.5463



PBE-GGA LaMg2Co, optimized geometry; space group = R3m (160); E_form = 176 meV per atom
1.0
-8.0080 -3.3613 -0.7053
-5.9935 -5.6784 -2.7852
-6.1281 -6.1296 0.8933
Co La Mg
1 1 2
Cartesian
-10.1139 -7.6216 -1.3050
-15.6385 -11.7848 -2.0178
-4.6068 -3.4716 -0.5944
-19.9648 -15.0450 -2.5760



PBE-GGA KReCl2, optimized geometry; ΔE_f (raw) = 759 meV/atom; space group = F-43m (216); E above lowest polymorph = 841.0 meV per atom
1.0
5.3873 0.0000 0.0000
2.6936 4.6655 0.0000
2.6936 1.5552 4.3987
Cl Re K
2 1 1
Cartesian
2.6936 1.5552 1.0997
0.0000 0.0000 0.0000
8.0809 4.6655 3.2990
5.3873 3.1103 2.1993



PBE-GGA Y2MnRhC, optimized geometry; space group = P4/mmm (123); E_form = -363 meV per atom
1.0
-4.5061 -0.8398 1.8512
2.0319 -1.9918 4.0424
0.0444 3.3390 1.6229
Y Rh C Mn
2 1 1 1
Cartesian
-2.2530 -0.4199 0.9256
1.0160 -0.9959 2.0212
-1.2149 0.2537 3.7582
0.0000 0.0000 0.0000
0.0222 1.6695 0.8114



For reference, mass density by record: 8.0, 6.2, 5.2, 14.7, 6.2, 10.5, 5.2, 5.4, 12.3, 4.1, 4.4, 6.4 Mg/m³.